Entry from the Alexandria database: an optimized crystal structure of LiSb2Pt (GGA-PBE).

Summary:
uncorrected formation energy = -0.23 eV per atom
space-group type = Cmmm (65)
size of the total moment = 0.0000 μB/atom
DOS(E_F) = 1.47 states/eV/f.u.

POSCAR file:
```
LiSb2Pt
1.0
2.3228 -2.6303 0.0000
2.3228 2.6303 0.0000
0.0000 0.0000 6.9355
Li Sb Pt
1 2 1
Direct
0.0000 0.0000 0.0000
0.5000 0.5000 0.2723
0.5000 0.5000 0.7277
0.0000 0.0000 0.5000
```

=====

Entry from the Alexandria database: an optimized crystal structure of Sc2Ru (GGA-PBE).

Summary:
energy relative to the elements = -0.421 eV per atom
space-group type = P-62m (189)
size of the total moment = 0.0000 μB/atom
DOS(E_F) = 1.50 states/eV/f.u.

POSCAR file:
```
Sc2Ru
1.0
7.2327 0.0000 0.0000
-3.6163 6.2637 0.0000
0.0000 0.0000 3.8708
Sc Ru
6 3
Direct
0.0000 0.2566 0.0000
0.0000 0.5893 0.5000
0.2566 0.0000 0.0000
0.4107 0.4107 0.5000
0.5893 0.0000 0.5000
0.7434 0.7434 0.0000
0.0000 0.0000 0.5000
0.3333 0.6667 0.0000
0.6667 0.3333 0.0000
```

=====

Entry from the Alexandria database: an optimized crystal structure of Mg2In4Pb5 (GGA-PBE).

Summary:
energy relative to the elements = 0.014 eV per atom
space-group type = Pbam (55)
size of the total moment = 0.0000 μB/atom
DOS(E_F) = 5.68 states/eV/f.u.

POSCAR file:
```
Mg2In4Pb5
1.0
8.9604 0.0000 0.0000
0.0000 19.4188 0.0000
0.0000 0.0000 3.5758
Mg In Pb
4 8 10
Direct
0.0161 0.1927 0.0000
0.4839 0.6927 0.0000
0.5161 0.3073 0.0000
0.9839 0.8073 0.0000
0.0798 0.6477 0.0000
0.2202 0.9268 0.0000
0.2798 0.4268 0.0000
0.4202 0.1477 0.0000
0.5798 0.8523 0.0000
0.7202 0.5732 0.0000
0.7798 0.0732 0.0000
0.9202 0.3523 0.0000
0.0000 0.5000 0.5000
0.1253 0.0661 0.5000
0.2276 0.2803 0.5000
0.2724 0.7803 0.5000
0.3747 0.5661 0.5000
0.5000 0.0000 0.5000
0.6253 0.4339 0.5000
0.7276 0.2197 0.5000
0.7724 0.7197 0.5000
0.8747 0.9339 0.5000
```

=====

Entry from the Alexandria database: an optimized crystal structure of CeMgZn2Ag5 (GGA-PBE).

Summary:
energy relative to the elements = 0.035 eV per atom
space-group type = P4/mmm (123)
size of the total moment = 0.1204 μB/atom
DOS(E_F) = 10.62 states/eV/f.u.

POSCAR file:
```
CeMgZn2Ag5
1.0
4.8975 0.0000 0.0000
0.0000 4.8975 0.0000
0.0000 0.0000 7.8179
Ce Mg Zn Ag
1 1 2 5
Direct
0.0000 0.0000 0.0000
0.0000 0.0000 0.5000
0.5000 0.5000 0.3459
0.5000 0.5000 0.6541
0.0000 0.5000 0.2554
0.0000 0.5000 0.7446
0.5000 0.0000 0.2554
0.5000 0.0000 0.7446
0.5000 0.5000 0.0000
```

=====

Entry from the Alexandria database: an optimized crystal structure of FeOsRu (GGA-PBE).

Summary:
energy relative to the elements = 0.112 eV per atom
space-group type = Imm2 (44)
size of the total moment = 0.6649 μB/atom
DOS(E_F) = 3.21 states/eV/f.u.

POSCAR file:
```
FeOsRu
1.0
-1.3494 1.8611 3.9777
1.3494 -1.8611 3.9777
1.3494 1.8611 -3.9777
Fe Os Ru
1 1 1
Direct
0.0000 0.0000 0.0000
0.6650 0.6650 0.0000
0.3320 0.3320 0.0000
```

=====

Entry from the Alexandria database: an optimized crystal structure of NbTlIrPd2 (GGA-PBE).

Summary:
energy relative to the elements = 0.881 eV per atom
space-group type = P4/mmm (123)
size of the total moment = 0.0000 μB/atom
DOS(E_F) = 4.86 states/eV/f.u.

POSCAR file:
```
NbTlIrPd2
1.0
4.9622 0.0000 0.0000
0.0000 4.9622 0.0000
0.0000 0.0000 4.7906
Nb Tl Ir Pd
1 1 1 2
Direct
0.0000 0.0000 0.0000
0.5000 0.5000 0.5000
0.0000 0.0000 0.5000
0.0000 0.5000 0.0000
0.5000 0.0000 0.0000
```

=====

Entry from the Alexandria database: an optimized crystal structure of BaLiLaBr6 (GGA-PBE).

Summary:
uncorrected formation energy = -1.93 eV per atom
space-group type = P-31c (163)
size of the total moment = 0.0000 μB/atom
DOS(E_F) = 0.00 states/eV/f.u.

POSCAR file:
```
BaLiLaBr6
1.0
7.4060 0.0000 0.0000
-3.7030 6.4138 0.0000
0.0000 0.0000 14.1036
Ba Li La Br
2 2 2 12
Direct
0.0000 0.0000 0.0000
0.0000 0.0000 0.5000
0.3333 0.6667 0.2500
0.6667 0.3333 0.7500
0.3333 0.6667 0.7500
0.6667 0.3333 0.2500
0.0149 0.3678 0.1342
0.0149 0.6471 0.3658
0.3529 0.3678 0.3658
0.3529 0.9851 0.1342
0.3678 0.0149 0.6342
0.3678 0.3529 0.8658
0.6322 0.6471 0.1342
0.6322 0.9851 0.3658
0.6471 0.0149 0.8658
0.6471 0.6322 0.6342
0.9851 0.3529 0.6342
0.9851 0.6322 0.8658
```

=====

Entry from the Alexandria database: an optimized crystal structure of ScTe2As (GGA-PBE).

Summary:
uncorrected formation energy = -0.32 eV per atom
space-group type = Cmm2 (35)
size of the total moment = 0.0000 μB/atom
DOS(E_F) = 3.18 states/eV/f.u.

POSCAR file:
```
ScTe2As
1.0
2.0529 -2.4025 0.0000
2.0529 2.4025 0.0000
0.0000 0.0000 11.5379
Sc Te As
1 2 1
Direct
0.0000 0.0000 0.0000
0.0000 0.0000 0.5187
0.5000 0.5000 0.1874
0.5000 0.5000 0.8400
```

=====

Entry from the Alexandria database: an optimized crystal structure of BaSr2Y (GGA-PBE).

Summary:
energy relative to the elements = 0.166 eV per atom
space-group type = R3m (160)
size of the total moment = 0.2594 μB/atom
DOS(E_F) = 6.55 states/eV/f.u.

POSCAR file:
```
BaSr2Y
1.0
2.0385 1.1769 13.4296
-2.0385 1.1769 13.4296
0.0000 -2.3538 13.4296
Ba Sr Y
1 2 1
Direct
0.0000 0.0000 0.0000
0.2429 0.2429 0.2429
0.4241 0.4241 0.4241
0.8334 0.8334 0.8334
```

=====

Entry from the Alexandria database: an optimized crystal structure of RbTlSe2 (GGA-PBE).

Summary:
uncorrected formation energy = -0.67 eV per atom
space-group type = C2/c (15)
size of the total moment = 0.0000 μB/atom
DOS(E_F) = 0.00 states/eV/f.u.

POSCAR file:
```
RbTlSe2
1.0
5.9771 -5.9818 0.0000
5.9771 5.9818 0.0000
-2.8321 0.0000 16.4376
Rb Tl Se
8 8 16
Direct
0.1532 0.8031 0.6087
0.1929 0.3488 0.8808
0.1969 0.8468 0.8913
0.3488 0.1929 0.3808
0.6512 0.8071 0.6192
0.8031 0.1532 0.1087
0.8071 0.6512 0.1192
0.8468 0.1969 0.3913
0.0894 0.7116 0.3440
0.2884 0.9106 0.1560
0.2900 0.4137 0.1625
0.4137 0.2900 0.6625
0.5863 0.7100 0.3375
0.7100 0.5863 0.8375
0.7116 0.0894 0.8440
0.9106 0.2884 0.6560
0.0486 0.9514 0.2500
0.0559 0.4185 0.2614
0.1433 0.2398 0.5583
0.2292 0.6335 0.0596
0.2398 0.1433 0.0583
0.3665 0.7708 0.4404
0.4185 0.0559 0.7614
0.4199 0.5801 0.7500
0.5801 0.4199 0.2500
0.5815 0.9441 0.2386
0.6335 0.2292 0.5596
0.7602 0.8567 0.9417
0.7708 0.3665 0.9404
0.8567 0.7602 0.4417
0.9441 0.5815 0.7386
0.9514 0.0486 0.7500
```

=====

Entry from the Alexandria database: an optimized crystal structure of TaCrPS2 (GGA-PBE).

Summary:
uncorrected formation energy = 0.57 eV per atom
space-group type = P4/mmm (123)
size of the total moment = 0.7493 μB/atom
DOS(E_F) = 3.97 states/eV/f.u.

POSCAR file:
```
TaCrPS2
1.0
4.4085 0.0000 0.0000
0.0000 4.4085 0.0000
0.0000 0.0000 4.5477
Ta Cr P S
1 1 1 2
Direct
0.0000 0.0000 0.0000
0.5000 0.5000 0.5000
0.5000 0.5000 0.0000
0.0000 0.5000 0.5000
0.5000 0.0000 0.5000
```